No. 1
# BiW2Cl, optimized geometry, DFT PBE-GGA
# * density: 13.9 g/cm3
# * energy relative to the elements, uncorrected: 1.409 eV per atom
# * E above lowest polymorph: 253 meV per atom
# * calculated volume: 293 Å³/cell
data_BiW2Cl
_chemical_formula_sum 'Bi4 W8 Cl4'
_cell_length_a 6.645
_cell_length_b 6.645
_cell_length_c 6.645
_cell_angle_alpha 90.00
_cell_angle_beta 90.00
_cell_angle_gamma 90.00
_symmetry_space_group_name_H-M 'F m -3 m'
_symmetry_Int_Tables_number 225
_symmetry_space_group_name_Hall '-F 4 2 3'
loop_
_atom_site_label
_atom_site_type_symbol
_atom_site_fract_x
_atom_site_fract_y
_atom_site_fract_z
Bi1 Bi 0.000 0.000 0.000
W1 W 0.250 0.250 0.250
Cl1 Cl 0.000 0.000 0.500

***

No. 2
# Bi3WCl, optimized geometry, DFT PBE-GGA
# * density: 9.0 g/cm3
# * energy relative to the elements, uncorrected: 0.430 eV per atom
# * E above lowest polymorph: 0 meV per atom
# * calculated volume: 157 Å³/cell
data_Bi3WCl
_chemical_formula_sum 'Bi3 W1 Cl1'
_cell_length_a 5.394
_cell_length_b 5.394
_cell_length_c 5.394
_cell_angle_alpha 90.00
_cell_angle_beta 90.00
_cell_angle_gamma 90.00
_symmetry_space_group_name_H-M 'P m -3 m'
_symmetry_Int_Tables_number 221
_symmetry_space_group_name_Hall '-P 4 2 3'
loop_
_atom_site_label
_atom_site_type_symbol
_atom_site_fract_x
_atom_site_fract_y
_atom_site_fract_z
Bi1 Bi 0.000 0.000 0.500
W1 W 0.000 0.000 0.000
Cl1 Cl 0.500 0.500 0.500

***

No. 3
# BiW2Cl, optimized geometry, DFT PBE-GGA
# * density: 11.8 g/cm3
# * energy relative to the elements, uncorrected: 1.157 eV per atom
# * E above lowest polymorph: 0 meV per atom
# * calculated volume: 345 Å³/cell
data_BiW2Cl
_chemical_formula_sum 'Bi4 W8 Cl4'
_cell_length_a 4.547
_cell_length_b 4.547
_cell_length_c 16.673
_cell_angle_alpha 90.00
_cell_angle_beta 90.00
_cell_angle_gamma 90.00
_symmetry_space_group_name_H-M 'I -4 2 d'
_symmetry_Int_Tables_number 122
_symmetry_space_group_name_Hall 'I -4 2bw'
loop_
_atom_site_label
_atom_site_type_symbol
_atom_site_fract_x
_atom_site_fract_y
_atom_site_fract_z
Bi1 Bi 0.000 0.000 0.000
W1 W 0.153 0.250 0.625
Cl1 Cl 0.000 0.000 0.500

***

No. 4
# Bi3WCl, optimized geometry, DFT PBE-GGA
# * density: 9.1 g/cm3
# * energy relative to the elements, uncorrected: 1.498 eV per atom
# * E above lowest polymorph: 1068 meV per atom
# * calculated volume: 154 Å³/cell
data_Bi3WCl
_chemical_formula_sum 'Bi3 W1 Cl1'
_cell_length_a 5.357
_cell_length_b 5.357
_cell_length_c 5.357
_cell_angle_alpha 90.00
_cell_angle_beta 90.00
_cell_angle_gamma 90.00
_symmetry_space_group_name_H-M 'P m -3 m'
_symmetry_Int_Tables_number 221
_symmetry_space_group_name_Hall '-P 4 2 3'
loop_
_atom_site_label
_atom_site_type_symbol
_atom_site_fract_x
_atom_site_fract_y
_atom_site_fract_z
Bi1 Bi 0.000 0.000 0.500
W1 W 0.500 0.500 0.500
Cl1 Cl 0.000 0.000 0.000

***

- E above lowest polymorph of number 2 (Bi3WCl)?
  0 meV per atom

***

- Among the records above, which one has the lowest calculated volume?
  number 4